Below is a geometry-optimized Li4Mg structure, with properties calculated at the PBE-GGA level.

Results
ΔH_f (0 K): -18 meV per atom
V: 100.4 Å³/f.u.

abc: 5.6943 4.8747 8.2798
angles: 90.00 119.07 90.00
Last column: nearest neighbours and their distance in Å.
Element x y z (fractional)
Li  0.1152  0.0012  0.2044  7 Li 2.90-3.03, 1 Mg 3.06
Li  0.1152  0.4988  0.7044  7 Li 2.90-3.03, 1 Mg 3.06
Li  0.2930  0.5008  0.0967  5 Li 2.90-2.95, 3 Mg 2.95-2.98
Li  0.2930  0.9992  0.5967  5 Li 2.90-2.95, 3 Mg 2.95-2.98
Li  0.7070  0.0008  0.4033  5 Li 2.90-2.95, 3 Mg 2.95-2.98
Li  0.7070  0.4992  0.9033  5 Li 2.90-2.95, 3 Mg 2.95-2.98
Li  0.8848  0.5012  0.2956  7 Li 2.90-3.03, 1 Mg 3.06
Li  0.8848  0.9988  0.7956  7 Li 2.90-3.03, 1 Mg 3.06
Mg  0.5000  0.0000  0.0000  8 Li 2.95-3.06
Mg  0.5000  0.5000  0.5000  8 Li 2.95-3.06

=====

Below is a geometry-optimized LiMg2 structure, with properties calculated at the PBE-GGA level.

Results
ΔH_f (0 K): -47 meV per atom
V: 63.9 Å³/f.u.

abc: 4.9339 4.9339 3.0321
angles: 90.00 90.00 120.00
Last column: nearest neighbours and their distance in Å.
Element x y z (fractional)
Li  0.0000  0.0000  0.0000  6 Mg 2.99, 2 Li 3.03
Mg  0.3333  0.6667  0.2972  3 Li 2.99, 5 Mg 3.03-3.10
Mg  0.6667  0.3333  0.7028  3 Li 2.99, 5 Mg 3.03-3.10

=====

Below is a geometry-optimized Li5Mg2 structure, with properties calculated at the PBE-GGA level.

Results
ΔH_f (0 K): -33 meV per atom
V: 141.0 Å³/f.u.

abc: 10.8744 3.5586 7.3908
angles: 90.00 99.58 90.00
Last column: nearest neighbours and their distance in Å.
Element x y z (fractional)
Li  0.0000  0.0000  0.0000  6 Li 2.93-3.27, 4 Mg 3.00
Li  0.1492  0.0000  0.4220  4 Li 2.91, 4 Mg 2.99-3.02
Li  0.2090  0.5000  0.1374  6 Li 2.91-2.95, 2 Mg 3.04
Li  0.2910  0.0000  0.8626  6 Li 2.91-2.95, 2 Mg 3.04
Li  0.3508  0.5000  0.5780  4 Li 2.91, 4 Mg 2.99-3.02
Li  0.5000  0.5000  0.0000  6 Li 2.93-3.27, 4 Mg 3.00
Li  0.6492  0.5000  0.4220  4 Li 2.91, 4 Mg 2.99-3.02
Li  0.7090  0.0000  0.1374  6 Li 2.91-2.95, 2 Mg 3.04
Li  0.7910  0.5000  0.8626  6 Li 2.91-2.95, 2 Mg 3.04
Li  0.8508  0.0000  0.5780  4 Li 2.91, 4 Mg 2.99-3.02
Mg  0.0719  0.5000  0.7085  10 Li 2.99-3.33, 1 Mg 3.22
Mg  0.4281  0.0000  0.2915  10 Li 2.99-3.33, 1 Mg 3.22
Mg  0.5719  0.0000  0.7085  10 Li 2.99-3.33, 1 Mg 3.22
Mg  0.9281  0.5000  0.2915  10 Li 2.99-3.33, 1 Mg 3.22

=====

Below is a geometry-optimized LiMg2 structure, with properties calculated at the PBE-GGA level.

Results
ΔH_f (0 K): 38 meV per atom
V: 66.0 Å³/f.u.

abc: 7.3439 6.7718 7.6911
angles: 60.64 53.48 65.89
Last column: nearest neighbours and their distance in Å.
Element x y z (fractional)
Li  0.0760  0.9240  0.3025  8 Mg 2.93-3.15, 1 Li 3.10
Li  0.5525  0.9475  0.3260  8 Mg 2.93-3.15, 1 Li 3.10
Li  0.9240  0.0760  0.6975  8 Mg 2.93-3.15, 1 Li 3.10
Li  0.9475  0.5525  0.1740  8 Mg 2.93-3.15, 1 Li 3.10
Mg  0.2151  0.6260  0.6506  4 Li 2.93-3.12, 5 Mg 3.06-3.20
Mg  0.2548  0.3973  0.3690  4 Li 2.94-3.15, 5 Mg 3.05-3.11
Mg  0.2710  0.8810  0.8527  4 Li 2.94-3.15, 5 Mg 3.05-3.11
Mg  0.3973  0.2548  0.9790  4 Li 2.94-3.15, 5 Mg 3.05-3.11
Mg  0.5994  0.7417  0.0349  4 Li 2.93-3.12, 5 Mg 3.06-3.20
Mg  0.6260  0.2151  0.5083  4 Li 2.93-3.12, 5 Mg 3.06-3.20
Mg  0.7417  0.5994  0.6240  4 Li 2.93-3.12, 5 Mg 3.06-3.20
Mg  0.8810  0.2710  0.9952  4 Li 2.94-3.15, 5 Mg 3.05-3.11

=====

Below is a geometry-optimized LiMg2 structure, with properties calculated at the PBE-GGA level.

Results
ΔH_f (0 K): -14 meV per atom
V: 65.9 Å³/f.u.

abc: 3.1663 3.1663 15.1753
angles: 90.00 90.00 120.00
Last column: nearest neighbours and their distance in Å.
Element x y z (fractional)
Li  0.3333  0.6667  0.0801  9 Li 3.04-3.17, 3 Mg 3.04
Li  0.6667  0.3333  0.9199  9 Li 3.04-3.17, 3 Mg 3.04
Mg  0.3333  0.6667  0.4127  12 Mg 3.17-3.22
Mg  0.3333  0.6667  0.7595  3 Li 3.04, 9 Mg 3.17-3.19
Mg  0.6667  0.3333  0.2405  3 Li 3.04, 9 Mg 3.17-3.19
Mg  0.6667  0.3333  0.5873  12 Mg 3.17-3.22

=====

Below is a geometry-optimized Li3Mg4 structure, with properties calculated at the PBE-GGA level.

Results
ΔH_f (0 K): -18 meV per atom
V: 145.8 Å³/f.u.

abc: 5.4300 5.4300 5.7091
angles: 90.00 90.00 120.00
Last column: nearest neighbours and their distance in Å.
Element x y z (fractional)
Li  0.0000  0.5000  0.0000  4 Li 2.71
Li  0.5000  0.0000  0.0000  4 Li 2.71
Li  0.5000  0.5000  0.0000  4 Li 2.71
Mg  0.0000  0.0000  0.2535  2 Mg 2.81-2.89, 6 Li 3.08
Mg  0.0000  0.0000  0.7465  2 Mg 2.81-2.89, 6 Li 3.08
Mg  0.3333  0.6667  0.5000  9 Mg 3.14-3.44, 6 Li 3.26
Mg  0.6667  0.3333  0.5000  9 Mg 3.14-3.44, 6 Li 3.26

=====

Below is a geometry-optimized Li5Mg4 structure, with properties calculated at the PBE-GGA level.

Results
ΔH_f (0 K): -22 meV per atom
V: 184.0 Å³/f.u.

abc: 8.5032 8.5032 5.8781
angles: 90.00 90.00 120.00
Last column: nearest neighbours and their distance in Å.
Element x y z (fractional)
Li  0.0000  0.3068  0.2500  7 Mg 2.82-2.99
Li  0.0000  0.6932  0.7500  7 Mg 2.82-2.99
Li  0.3068  0.0000  0.2500  7 Mg 2.82-2.99
Li  0.3068  0.3068  0.7500  7 Mg 2.82-2.99
Li  0.3333  0.6667  0.0000  2 Li 2.94, 6 Mg 3.09
Li  0.3333  0.6667  0.5000  2 Li 2.94, 6 Mg 3.09
Li  0.6667  0.3333  0.0000  2 Li 2.94, 6 Mg 3.09
Li  0.6667  0.3333  0.5000  2 Li 2.94, 6 Mg 3.09
Li  0.6932  0.0000  0.7500  7 Mg 2.82-2.99
Li  0.6932  0.6932  0.2500  7 Mg 2.82-2.99
Mg  0.0000  0.0000  0.0000  2 Mg 2.94, 6 Li 2.99
Mg  0.0000  0.0000  0.5000  2 Mg 2.94, 6 Li 2.99
Mg  0.0000  0.3612  0.7500  9 Li 2.82-3.09
Mg  0.0000  0.6388  0.2500  9 Li 2.82-3.09
Mg  0.3612  0.0000  0.7500  9 Li 2.82-3.09
Mg  0.3612  0.3612  0.2500  9 Li 2.82-3.09
Mg  0.6388  0.0000  0.2500  9 Li 2.82-3.09
Mg  0.6388  0.6388  0.7500  9 Li 2.82-3.09

=====

Below is a geometry-optimized Li6Mg structure, with properties calculated at the PBE-GGA level.

Results
ΔH_f (0 K): 425 meV per atom
V: 146.4 Å³/f.u.

abc: 6.6406 6.6406 6.6406
angles: 90.00 90.00 90.00
Last column: nearest neighbours and their distance in Å.
Element x y z (fractional)
Li  0.0000  0.2500  0.5000  4 Li 2.35
Li  0.0000  0.5000  0.2500  4 Li 2.35
Li  0.0000  0.5000  0.7500  4 Li 2.35
Li  0.0000  0.7500  0.5000  4 Li 2.35
Li  0.2500  0.0000  0.5000  4 Li 2.35
Li  0.2500  0.5000  0.0000  4 Li 2.35
Li  0.5000  0.0000  0.2500  4 Li 2.35
Li  0.5000  0.0000  0.7500  4 Li 2.35
Li  0.5000  0.2500  0.0000  4 Li 2.35
Li  0.5000  0.7500  0.0000  4 Li 2.35
Li  0.7500  0.0000  0.5000  4 Li 2.35
Li  0.7500  0.5000  0.0000  4 Li 2.35
Mg  0.0000  0.0000  0.0000  24 Li 3.71
Mg  0.5000  0.5000  0.5000  24 Li 3.71

=====

Below is a geometry-optimized Li6Mg5 structure, with properties calculated at the PBE-GGA level.

Results
ΔH_f (0 K): 3 meV per atom
V: 235.4 Å³/f.u.

abc: 7.2424 7.2424 5.2198
angles: 104.36 104.36 108.36
Last column: nearest neighbours and their distance in Å.
Element x y z (fractional)
Li  0.0481  0.3151  0.6356  3 Li 2.79-3.08, 5 Mg 3.00-3.10
Li  0.1821  0.1821  0.1431  5 Li 2.80-3.08, 5 Mg 2.99-3.09
Li  0.3151  0.0481  0.6356  3 Li 2.79-3.08, 5 Mg 3.00-3.10
Li  0.6849  0.9519  0.3644  3 Li 2.79-3.08, 5 Mg 3.00-3.10
Li  0.8179  0.8179  0.8569  5 Li 2.80-3.08, 5 Mg 2.99-3.09
Li  0.9519  0.6849  0.3644  3 Li 2.79-3.08, 5 Mg 3.00-3.10
Mg  0.2246  0.7754  0.0000  8 Li 2.99-3.19, 3 Mg 3.07-3.23
Mg  0.3625  0.6375  0.5000  6 Li 3.01-3.07, 5 Mg 3.07-3.23
Mg  0.5000  0.5000  0.0000  6 Li 3.00-3.09, 6 Mg 3.07-3.23
Mg  0.6375  0.3625  0.5000  6 Li 3.01-3.07, 5 Mg 3.07-3.23
Mg  0.7754  0.2246  0.0000  8 Li 2.99-3.19, 3 Mg 3.07-3.23

=====

Below is a geometry-optimized LiMg5 structure, with properties calculated at the PBE-GGA level.

Results
ΔH_f (0 K): -20 meV per atom
V: 133.5 Å³/f.u.

abc: 3.1556 3.1556 15.4782
angles: 90.00 90.00 120.00
Last column: nearest neighbours and their distance in Å.
Element x y z (fractional)
Li  0.0000  0.0000  0.0000  6 Mg 3.04, 6 Li 3.16
Mg  0.0000  0.0000  0.3283  12 Mg 3.16-3.22
Mg  0.0000  0.0000  0.6717  12 Mg 3.16-3.22
Mg  0.3333  0.6667  0.1573  3 Li 3.04, 9 Mg 3.16-3.21
Mg  0.3333  0.6667  0.5000  12 Mg 3.16-3.22
Mg  0.3333  0.6667  0.8427  3 Li 3.04, 9 Mg 3.16-3.21

=====

Below is a geometry-optimized LiMg2 structure, with properties calculated at the PBE-GGA level.

Results
ΔH_f (0 K): -41 meV per atom
V: 63.1 Å³/f.u.

abc: 5.9952 4.8184 8.7340
angles: 90.00 90.00 90.00
Last column: nearest neighbours and their distance in Å.
Element x y z (fractional)
Li  0.1934  0.2500  0.0926  8 Mg 2.90-3.03
Li  0.3066  0.7500  0.5926  8 Mg 2.90-3.03
Li  0.6934  0.2500  0.4074  8 Mg 2.90-3.03
Li  0.8066  0.7500  0.9074  8 Mg 2.90-3.03
Mg  0.0283  0.2500  0.7643  7 Mg 3.01-3.27, 5 Li 3.02-3.29
Mg  0.1884  0.2500  0.4257  5 Li 2.90-3.03, 3 Mg 3.11-3.20
Mg  0.3116  0.7500  0.9257  5 Li 2.90-3.03, 3 Mg 3.11-3.20
Mg  0.4717  0.7500  0.2643  7 Mg 3.01-3.27, 5 Li 3.02-3.29
Mg  0.5283  0.2500  0.7357  7 Mg 3.01-3.27, 5 Li 3.02-3.29
Mg  0.6884  0.2500  0.0743  5 Li 2.90-3.03, 3 Mg 3.11-3.20
Mg  0.8116  0.7500  0.5743  5 Li 2.90-3.03, 3 Mg 3.11-3.20
Mg  0.9717  0.7500  0.2357  7 Mg 3.01-3.27, 5 Li 3.02-3.29